Entry from Alexandria via LeMat-Bulk: LiTl2Au after structural relaxation (GGA-PBE).

Structure (CIF):
```
data_LiTl2Au
_chemical_formula_sum 'Li2 Tl4 Au2'
_cell_length_a 9.205
_cell_length_b 4.684
_cell_length_c 4.702
_cell_angle_alpha 90.00
_cell_angle_beta 117.36
_cell_angle_gamma 90.00
_symmetry_space_group_name_H-M 'C 1 2/m 1'
_symmetry_Int_Tables_number 12
_symmetry_space_group_name_Hall '-C 2y'
loop_
_atom_site_label
_atom_site_fract_x
_atom_site_fract_y
_atom_site_fract_z
Li1 0.000 0.000 0.000
Tl1 0.248 0.000 0.752
Au1 0.000 0.500 0.500
```

## Properties
ΔE_f = -0.1345 eV/atom
Final energy = -2.62 eV per atom
Crystal system = monoclinic